Density functional theory data (GGA-PBE) for a relaxed structure of LiAlB14.

Summary:
- magnetic moment (μB/atom) = 0.00
- space-group type = Imma, No. 74
- DOS at the Fermi energy (states/eV per atom) = 0.000
- formation enthalpy at 0 K (kJ/mol of formula units) = -261

Cell lengths 7.2016, 7.2016, 7.2016 Å; angles 132.04, 111.25, 88.16 degrees
With the nearest neighbours (Å) after each atom.
Fractional coordinates of all 32 atoms:
B1 0.5847 0.4146 0.1701  6 B 1.78-1.84
B2 0.4639 0.6691 0.2924  6 B 1.75-1.84
B3 0.7309 0.3505 0.3804  3 B 1.75-1.83
B4 0.2554 0.0854 0.1701  6 B 1.78-1.84
B5 0.8654 0.8335 0.0318  6 B 1.73-1.84
B6 0.8767 0.1691 0.2053  6 B 1.75-1.84
B7 0.4153 0.5854 0.8299  6 B 1.78-1.84
B8 0.4702 0.8505 0.6196  3 B 1.75-1.83
B9 0.7446 0.9146 0.8299  6 B 1.78-1.84
B10 0.8978 0.9033 0.6768  6 B 1.75-1.86
B11 0.1233 0.3286 0.2924  6 B 1.75-1.84
B12 0.7265 0.4033 0.0055  6 B 1.75-1.86
B13 0.2735 0.2790 0.6768  6 B 1.75-1.86
B14 0.1233 0.8309 0.7947  6 B 1.75-1.84
B15 0.2691 0.6495 0.6196  3 B 1.75-1.83
B16 0.8767 0.6714 0.7076  6 B 1.75-1.84
B17 0.1022 0.7790 0.0055  6 B 1.75-1.86
B18 0.5298 0.1495 0.3804  3 B 1.75-1.83
B19 0.2735 0.5967 0.9945  6 B 1.75-1.86
B20 0.3017 0.3335 0.9682  6 B 1.73-1.84
B21 0.7265 0.7210 0.3232  6 B 1.75-1.86
B22 0.1022 0.0967 0.3232  6 B 1.75-1.86
B23 0.5361 0.3309 0.7076  6 B 1.75-1.84
B24 0.4639 0.1714 0.7947  6 B 1.75-1.84
B25 0.8978 0.2210 0.9945  6 B 1.75-1.86
B26 0.6983 0.6665 0.0318  6 B 1.73-1.84
B27 0.1346 0.1665 0.9682  6 B 1.73-1.84
B28 0.5361 0.8286 0.2053  6 B 1.75-1.84
Al1 0.5000 0.5000 0.5000  4 B 2.08
Al2 0.5000 0.0000 0.0000  4 B 2.08
Li1 0.1002 0.7500 0.3502  6 B 2.43-2.63
Li2 0.8998 0.2500 0.6498  6 B 2.43-2.63